! Sr2TaPt, relaxed, DFT PBE-GGA; values from VASP
! Volume = 26.3 A^3/atom
! Energy of formation = 0.545 eV per atom
! Symmetry = No. 166
! Offset from the most stable computed form = 2.25 eV/f.u.
&SYSTEM
  ibrav = 0, nat = 4, ntyp = 3
/
ATOMIC_SPECIES
Pt 195.08 Pt.upf
Sr 87.62 Sr.upf
Ta 180.95 Ta.upf
CELL_PARAMETERS angstrom
10.3546 0.0030 0.0018
9.7772 3.4094 0.0018
9.7772 1.6573 2.9795
ATOMIC_POSITIONS angstrom
Pt 22.4318 3.8023 2.2373
Sr 14.6879 2.4897 1.4649
Sr 0.2667 0.0452 0.0266
Ta 7.4773 1.2674 0.7458

=====

! SrTa2Pt2, relaxed, DFT PBE-GGA; values from VASP
! Volume = 19.7 A^3/atom
! Energy of formation = -0.143 eV per atom
! Symmetry = No. 127
! Offset from the most stable computed form = 0.22 eV/f.u.
&SYSTEM
  ibrav = 0, nat = 10, ntyp = 3
/
ATOMIC_SPECIES
Pt 195.08 Pt.upf
Ta 180.95 Ta.upf
Sr 87.62 Sr.upf
CELL_PARAMETERS angstrom
-0.3900 -1.8645 -8.0343
-4.3721 -6.7735 1.7841
-2.4467 1.5178 -0.2334
ATOMIC_POSITIONS angstrom
Pt -1.6696 -2.7501 -0.3812
Ta -5.1512 -6.1588 -3.9260
Ta -4.1739 -4.0145 -0.2280
Pt -3.0925 -5.8878 -5.8690
Pt -0.8126 -2.0524 -4.8277
Sr 0.0000 0.0000 0.0000
Ta -2.0576 -0.9614 -2.5577
Sr -2.3811 -4.3190 -3.1251
Ta -3.0350 -3.1056 -6.2556
Pt -3.9495 -6.5855 -1.4225

=====

! SrTaPt, relaxed, DFT PBE-GGA; values from VASP
! Volume = 24.7 A^3/atom
! Energy of formation = -0.278 eV per atom
! Symmetry = No. 63
! Offset from the most stable computed form = 0.10 eV/f.u.
&SYSTEM
  ibrav = 0, nat = 12, ntyp = 3
/
ATOMIC_SPECIES
Sr 87.62 Sr.upf
Ta 180.95 Ta.upf
Pt 195.08 Pt.upf
CELL_PARAMETERS angstrom
3.6344 0.0000 0.0000
0.0000 12.9100 0.0000
0.0000 0.0000 6.3233
ATOMIC_POSITIONS angstrom
Sr 0.0000 3.8939 4.7424
Ta 0.0000 0.0000 0.0000
Sr 1.8172 2.5611 1.5808
Pt 1.8172 1.1090 4.7424
Pt 1.8172 11.8010 1.5808
Pt 0.0000 7.5639 4.7424
Pt 0.0000 5.3460 1.5808
Ta 1.8172 6.4550 3.1616
Sr 1.8172 10.3489 4.7424
Ta 0.0000 0.0000 3.1616
Ta 1.8172 6.4550 0.0000
Sr 0.0000 9.0161 1.5808

=====

! Sr2YTaPt, relaxed, DFT PBE-GGA; values from VASP
! Volume = 34.1 A^3/atom
! Energy of formation = 0.364 eV per atom
! Symmetry = No. 123
&SYSTEM
  ibrav = 0, nat = 5, ntyp = 4
/
ATOMIC_SPECIES
Y 88.91 Y.upf
Sr 87.62 Sr.upf
Pt 195.08 Pt.upf
Ta 180.95 Ta.upf
CELL_PARAMETERS angstrom
-4.5467 -2.5258 2.6029
0.4983 -4.0085 -3.0193
3.5812 -2.4650 3.8635
ATOMIC_POSITIONS angstrom
Y -0.2336 -4.4996 1.7235
Sr -2.2733 -1.2629 1.3015
Pt 0.0000 0.0000 0.0000
Sr 1.7906 -1.2325 1.9317
Ta 0.2492 -2.0042 -1.5097